# 1
Material: TaHgPt2
Method: DFT, PBE
State: relaxed

The calculation puts the total energy at -48.0 eV per cell. As for the total magnetization: 0.0 μB per formula unit. As for the formation energy: 63 meV per atom. The mass density comes out at 16.4 g/cm3.

a = 7.423 Å, b = 7.423 Å, c = 5.966 Å
α = 51.53°, β = 51.53°, γ = 90.00°
Fractional coordinates of all 8 atoms:
Ta 0.250 0.750 0.500
Ta 0.500 0.500 0.000
Pt 0.375 0.406 0.750
Pt 0.875 0.844 0.750
Pt 0.594 0.125 0.250
Pt 0.156 0.625 0.250
Hg 0.750 0.250 0.500
Hg 0.000 0.000 0.000


# 2
Material: Ba3MoN4
Method: DFT, PBE
State: relaxed

The calculation puts the total energy at -225.2 eV per cell. The energy above the most stable polymorph in this dataset comes out at 0.046 eV/atom. As for the total magnetization: 0.0 μB per formula unit. The calculation puts the uncorrected formation energy at -0.801 eV/atom. The mass density comes out at 5.7 g/cm3.

a = 8.160 Å, b = 8.817 Å, c = 9.083 Å
α = 90.00°, β = 90.00°, γ = 90.00°
Fractional coordinates of all 32 atoms:
N 0.004 0.443 0.250
N 0.327 0.455 0.424
N 0.673 0.545 0.924
N 0.827 0.045 0.076
N 0.715 0.767 0.250
N 0.173 0.955 0.576
N 0.173 0.955 0.924
N 0.673 0.545 0.576
N 0.496 0.943 0.750
N 0.785 0.267 0.750
N 0.215 0.733 0.250
N 0.996 0.557 0.750
N 0.285 0.233 0.750
N 0.504 0.057 0.250
N 0.327 0.455 0.076
N 0.827 0.045 0.424
Ba 0.542 0.221 0.972
Ba 0.542 0.221 0.528
Ba 0.833 0.975 0.750
Ba 0.042 0.279 0.972
Ba 0.333 0.525 0.750
Ba 0.667 0.475 0.250
Ba 0.958 0.721 0.028
Ba 0.458 0.779 0.472
Ba 0.042 0.279 0.528
Ba 0.458 0.779 0.028
Ba 0.167 0.025 0.250
Ba 0.958 0.721 0.472
Mo 0.278 0.016 0.750
Mo 0.722 0.984 0.250
Mo 0.222 0.516 0.250
Mo 0.778 0.484 0.750


# 3
Material: TaReCl2
Method: DFT, PBE
State: relaxed

The calculation puts the total energy at -25.5 eV per cell. The energy above the most stable polymorph in this dataset comes out at 1.119 eV/atom. As for the total magnetization: 1.3 μB per formula unit. The calculation puts the uncorrected formation energy at 0.619 eV/atom. The mass density comes out at 8.3 g/cm3.

a = 3.017 Å, b = 3.017 Å, c = 11.631 Å
α = 90.00°, β = 90.00°, γ = 124.20°
Fractional coordinates of all 4 atoms:
Re 0.500 0.500 0.250
Cl 0.000 0.000 0.925
Cl 0.000 0.000 0.575
Ta 0.500 0.500 0.750


# 4
Material: YErScIr
Method: DFT, PBE
State: relaxed

The calculation puts the total energy at -27.3 eV per cell. As for the total magnetization: 0.4 μB per formula unit. As for the formation energy: -273 meV per atom. The mass density comes out at 9.1 g/cm3.

a = 5.024 Å, b = 5.024 Å, c = 5.024 Å
α = 60.00°, β = 60.00°, γ = 60.00°
Fractional coordinates of all 4 atoms:
Er 0.750 0.750 0.750
Ir 0.000 0.000 0.000
Y 0.250 0.250 0.250
Sc 0.500 0.500 0.500